An optimized crystal structure of Li3MnCo2O6. Source: Alexandria via LeMat-Bulk, functional PBE+U.

Cell: 2.8916 5.0901 8.0267 Å, 81.38 81.22 75.55°
Each line ends with the local moment (μB).
Fractional coordinates of all 12 atoms:
Li  0.1705  0.4846  0.6833  0.01
Li  0.5000  0.5000  0.0000  0.02
Li  0.8295  0.5154  0.3167  0.01
Co  0.1607  0.0170  0.1612  3.08
Co  0.8393  0.9830  0.8388  3.08
O  0.1399  0.7847  0.4105  0.04
O  0.1698  0.2223  0.9168  0.37
O  0.4798  0.2499  0.2398  0.35
O  0.8601  0.2153  0.5895  0.04
O  0.8302  0.7777  0.0832  0.37
O  0.5202  0.7501  0.7602  0.35
Mn  0.5000  0.0000  0.5000  3.88

**Crystal system**: triclinic
**Relative energy among the computed polymorphs**: 0.026 eV per atom